(1)
Li2InFe: relaxed, PBE-GGA.

As for the crystal system: tetragonal. The formation energy is 0.12 eV/atom. As for the density of states at the Fermi level: 0.5573 states/eV per atom. The value obtained for the energy is -3.639 eV/atom.

a b c (Å): 3.828 3.828 8.987
angles (deg): 90.00 90.00 90.00
Space group I4/mmm (No. 139)
Inequivalent atoms, fractional coordinates:
1 Li 0.000 0.500 0.250 x4
2 In 0.000 0.000 0.000 x2
3 Fe 0.000 0.000 0.500 x2

(2)
FeTcBr2: relaxed, PBE-GGA.

As for the crystal system: monoclinic. The polymorph energy (0 for the lowest one) comes out at 0.0 meV/atom. For the energy relative to the elements, uncorrected, the calculation gives 153 meV per atom. As for the density of states at the Fermi level: 0.5761 states/eV per atom. The value obtained for the energy is -5.390 eV/atom.

a b c (Å): 6.194 3.577 8.170
angles (deg): 90.00 91.22 90.00
Space group Cm (No. 8)
Inequivalent atoms, fractional coordinates:
1 Fe 0.000 0.000 0.000 x2
2 Tc 0.337 0.000 0.123 x2
3 Br 0.177 0.500 0.342 x2
4 Br 0.328 0.000 0.800 x2

(3)
HfCuAg2: relaxed, PBE-GGA.

As for the crystal system: trigonal. The formation energy is 0.32 eV/atom. The polymorph energy (0 for the lowest one) comes out at 225.2 meV/atom. As for the density of states at the Fermi level: 0.4294 states/eV per atom. The value obtained for the energy is -4.617 eV/atom.

a b c (Å): 2.9073 2.9073 30.0222
angles (deg): 90.00 90.00 120.00
Space group R-3m (No. 166, hexagonal axes)
Inequivalent atoms, fractional coordinates:
1 Hf 0.0000 0.0000 0.0000 x3
2 Cu 0.0000 0.0000 0.5000 x3
3 Ag 0.0000 0.0000 0.0941 x6

(4)
TbNbPt6: relaxed, PBE-GGA.

As for the crystal system: tetragonal. The formation energy is -0.84 eV/atom. As for the density of states at the Fermi level: 0.1421 states/eV per atom. The value obtained for the energy is -7.208 eV/atom.

a b c (Å): 4.064 4.064 8.152
angles (deg): 90.00 90.00 90.00
Space group P4/mmm (No. 123)
Inequivalent atoms, fractional coordinates:
1 Tb 0.000 0.000 0.000 x1
2 Nb 0.000 0.000 0.500 x1
3 Pt 0.000 0.500 0.265 x4
4 Pt 0.500 0.500 0.000 x1
5 Pt 0.500 0.500 0.500 x1